VASP calculation (GGA-PBE) on Tm4CuTc after structural relaxation.

Unit cell a=3.4243 b=3.4243 c=12.2041 alpha=90.00 beta=90.00 gamma=90.00
With the nearest neighbours (Å) after each atom.
Sites, in units of the cell vectors:
Tm (0.0000, 0.0000, 0.1316)  4 Tc 2.91, 1 Tm 3.21
Tm (0.0000, 0.0000, 0.8684)  4 Tc 2.91, 1 Tm 3.21
Tm (0.5000, 0.5000, 0.3617)  4 Cu 2.95
Tm (0.5000, 0.5000, 0.6383)  4 Cu 2.95
Cu (0.0000, 0.0000, 0.5000)  8 Tm 2.95
Tc (0.5000, 0.5000, 0.0000)  8 Tm 2.91

Summary:
calculated formation energy = -68 kJ/mol of formula units
D(E_F) = 5.361 states/eV/cell
space group = P4/mmm
magnetization = 0.00 μB/atom